No. 1
Here is an optimized crystal structure of MgTlInBr6 from the Alexandria database. Energies are from GGA-PBE.

Geometry as extended XYZ:
```
9
Lattice="7.032 0.000 0.000 -3.516 6.090 0.000 0.000 0.000 7.358" Properties=species:S:1:pos:R:3 pbc="T T T"
Mg 0.000 0.000 0.000
Tl 3.516 2.030 3.679
In 0.000 4.060 0.000
Br -0.908 2.016 1.559
Br -2.224 4.295 5.799
Br 0.908 2.016 5.799
Br -1.316 5.868 1.559
Br 2.224 4.295 1.559
Br 1.316 5.868 5.799
```

Values from the calculation:
Raw formation energy: -1.0482 eV per atom

No. 2
Here is an optimized crystal structure of MnFeBr2 from the Alexandria database. Energies are from GGA-PBE.

Geometry as extended XYZ:
```
8
Lattice="3.230 0.000 0.000 0.000 7.930 0.000 0.000 0.000 9.317" Properties=species:S:1:pos:R:3 pbc="T T T"
Mn 0.000 0.000 0.000
Mn 1.615 3.965 4.659
Fe 0.000 3.965 6.678
Fe 1.615 0.000 2.019
Br 0.000 0.000 3.806
Br 0.000 3.965 2.791
Br 1.615 0.000 7.450
Br 1.615 3.965 8.464
```

Values from the calculation:
Raw formation energy: 0.2227 eV per atom
Excess energy over the best structure of this formula in the dataset: 0.273 eV/atom

No. 3
Here is an optimized crystal structure of InBrN2 from the Alexandria database. Energies are from GGA-PBE.

Geometry as extended XYZ:
```
16
Lattice="4.751 0.000 0.000 0.000 4.751 0.000 0.000 0.000 11.973" Properties=species:S:1:pos:R:3 pbc="T T T"
In 0.000 0.000 0.000
In 0.000 2.376 2.993
In 2.376 0.000 8.980
In 2.376 2.376 5.987
Br 0.000 0.000 5.987
Br 0.000 2.376 8.980
Br 2.376 0.000 2.993
Br 2.376 2.376 0.000
N 1.185 1.188 7.483
N 1.188 3.560 10.476
N 1.188 3.567 4.490
N 1.191 1.188 1.497
N 3.560 3.563 1.497
N 3.563 1.185 4.490
N 3.563 1.191 10.476
N 3.567 3.563 7.483
```

Values from the calculation:
Raw formation energy: 1.3926 eV per atom
Excess energy over the best structure of this formula in the dataset: 0.416 eV/atom

No. 4
Here is an optimized crystal structure of Ho6PaO12 from the Alexandria database. Energies are from GGA-PBE.

Geometry as extended XYZ:
```
19
Lattice="5.014 2.895 3.114 -5.014 2.895 3.114 0.000 -5.790 3.114" Properties=species:S:1:pos:R:3 pbc="T T T"
Ho -3.537 -1.049 4.873
Ho -0.861 -3.588 4.469
Ho -2.677 2.539 4.469
Ho 2.677 -2.539 4.873
Ho 0.861 3.588 4.873
Ho 3.537 1.049 4.469
Pa 0.000 0.000 4.671
O -4.250 1.001 4.079
O -2.991 -3.180 5.263
O -1.204 -1.475 3.621
O 1.258 -4.180 4.079
O -0.676 1.780 3.621
O -1.879 0.305 5.721
O 1.879 -0.305 3.621
O 0.676 -1.780 5.721
O -1.258 4.180 5.263
O 1.204 1.475 5.721
O 2.991 3.180 4.079
O 4.249 -1.001 5.263
```

Values from the calculation:
Raw formation energy: -3.5203 eV per atom

No. 5
Here is an optimized crystal structure of PrSc2Cd2In2 from the Alexandria database. Energies are from GGA-PBE.

Geometry as extended XYZ:
```
7
Lattice="2.442 1.410 8.553 -2.442 1.410 8.553 0.000 -2.820 8.553" Properties=species:S:1:pos:R:3 pbc="T T T"
Pr 0.000 0.000 0.000
Sc 0.000 0.000 3.513
Sc 0.000 0.000 22.145
Cd 0.000 0.000 11.208
Cd 0.000 0.000 14.450
In 0.000 0.000 6.693
In 0.000 0.000 18.965
```

Values from the calculation:
E_form: -0.272 eV per atom

No. 6
Here is an optimized crystal structure of YMgZnGe from the Alexandria database. Energies are from GGA-PBE.

Geometry as extended XYZ:
```
16
Lattice="6.911 0.000 0.000 0.000 6.911 0.000 0.000 0.000 6.911" Properties=species:S:1:pos:R:3 pbc="T T T"
Y 0.000 0.000 0.000
Y 0.000 3.456 3.456
Y 3.456 0.000 3.456
Y 3.456 3.456 0.000
Mg 0.000 0.000 3.456
Mg 0.000 3.456 0.000
Mg 3.456 0.000 0.000
Mg 3.456 3.456 3.456
Zn 1.728 1.728 1.728
Zn 1.728 5.183 5.183
Zn 5.183 1.728 5.183
Zn 5.183 5.183 1.728
Ge 1.728 1.728 5.183
Ge 1.728 5.183 1.728
Ge 5.183 1.728 1.728
Ge 5.183 5.183 5.183
```

Values from the calculation:
E_form: -0.333 eV per atom

No. 7
Here is an optimized crystal structure of Y2TlFe from the Alexandria database. Energies are from GGA-PBE.

Geometry as extended XYZ:
```
8
Lattice="3.499 0.000 0.000 0.000 5.054 0.000 0.000 0.000 10.961" Properties=species:S:1:pos:R:3 pbc="T T T"
Y 0.000 0.000 0.000
Y 0.000 2.527 2.228
Y 1.750 0.000 7.708
Y 1.750 2.527 5.481
Tl 0.000 2.527 8.616
Tl 1.750 0.000 3.136
Fe 0.000 0.000 5.304
Fe 1.750 2.527 10.784
```

Values from the calculation:
E_form: 0.026 eV per atom

No. 8
Here is an optimized crystal structure of ZrPd2Pt4 from the Alexandria database. Energies are from GGA-PBE.

Geometry as extended XYZ:
```
14
Lattice="9.808 0.000 0.000 0.000 5.560 0.000 -1.681 0.000 4.489" Properties=species:S:1:pos:R:3 pbc="T T T"
Zr 0.000 0.000 0.000
Zr 4.904 2.780 0.000
Pd 1.580 2.780 2.196
Pd 1.642 0.000 2.294
Pd 6.484 0.000 2.196
Pd 6.546 2.780 2.294
Pt -0.841 1.434 2.245
Pt -0.841 4.126 2.245
Pt 2.452 1.390 0.000
Pt 2.452 4.170 0.000
Pt 4.063 1.346 2.245
Pt 4.063 4.214 2.245
Pt 7.356 1.390 0.000
Pt 7.356 4.170 0.000
```

Values from the calculation:
E_form: -0.445 eV per atom

| no. | size of the total moment (μB/cell) | total energy (hartree per atom) | DOS(E_F) (states/eV per cell) |
| --- | --- | --- | --- |
| 1 | 0.00 | -0.1069 | 0.00 |
| 2 | 14.05 | -0.1845 | 4.54 |
| 3 | 0.00 | -0.1423 | 1.61 |
| 4 | 0.98 | -0.3159 | 14.44 |
| 5 | 0.63 | -0.1399 | 5.17 |
| 6 | 0.00 | -0.1404 | 10.93 |
| 7 | 3.29 | -0.2173 | 12.50 |
| 8 | 0.00 | -0.2426 | 14.60 |